A plane-wave DFT calculation with GGA-PBE was carried out for a relaxed LiEuCdAu crystal.

Cell: 5.0480 5.0480 5.0480 Å, 60.00 60.00 60.00°
Closest atoms and distances in Å follow each position.
Sites, in units of the cell vectors:
1 Eu 0.2500 0.2500 0.2500  4 Au 3.09, 4 Li 3.09
2 Li 0.5000 0.5000 0.5000  4 Cd 3.09, 4 Eu 3.09
3 Au 0.0000 0.0000 0.0000  4 Eu 3.09, 4 Cd 3.09
4 Cd 0.7500 0.7500 0.7500  4 Li 3.09, 4 Au 3.09

Summary:
Raw total energy in eV per formula unit: -18.04
Energy of formation in eV/atom: -0.415